The following is a SCAN calculation of a crystal of AgOsRh2F relaxed with PBEsol, from Alexandria.

Results
Crystal system   tetragonal
Final energy   -1.2439 hartree per atom
Theoretical density   12.096 g/cm3
Raw formation energy   1.02 eV/atom

Geometry as POSCAR:
```
AgOsRh2F
1.0
-0.4230 -1.7177 -3.6576
-1.6452 -3.2858 1.7333
-3.9503 1.7784 -0.3783
Rh Os F Ag
2 1 1 1
direct
0.5000 0.0000 0.0000
0.0000 0.5000 0.0000
0.5000 0.5000 0.5000
0.0000 0.0000 0.0000
0.0000 0.0000 0.5000
```


The following is a SCAN calculation of a crystal of AgOsW2F relaxed with PBEsol, from Alexandria.

Results
Crystal system   tetragonal
Final energy   -1.7255 hartree per atom
Theoretical density   13.226 g/cm3
Raw formation energy   2.28 eV/atom

Geometry as POSCAR:
```
AgOsW2F
1.0
3.6264 0.0000 0.0000
0.0000 4.8691 0.0000
0.0000 0.0000 4.8691
F W Ag Os
1 2 1 1
direct
0.5000 0.0000 0.0000
0.0000 0.0000 0.5000
0.0000 0.5000 0.0000
0.0000 0.0000 0.0000
0.5000 0.5000 0.5000
```


Number 1: D(E_F) 1.031 states/eV/atom. Number 2: D(E_F) 0.927 states/eV/atom.